# 1
KLiMo after structural relaxation. Source: Alexandria, functional GGA-PBE.

Calculated values
DOS(E_F) (states/eV per cell): 2.484
E (hartree per atom): -0.1346
Offset from the most stable computed form (meV/atom): 0
Symmetry: Fmm2
Energy of formation (eV per atom): 0.95

Cell: 9.135 9.022 2.758 Å, 83.59 78.95 17.46°
Element x y z (fractional)
1 K 0.009 0.009 0.991
2 Mo 0.681 0.681 0.319
3 Li 0.310 0.310 0.690

---

# 2
TaTlMo3 after structural relaxation. Source: Alexandria, functional GGA-PBE.

Calculated values
DOS(E_F) (states/eV per cell): 9.461
E (hartree per atom): -0.2428
Offset from the most stable computed form (meV/atom): 979
Symmetry: Pm-3m
Energy of formation (eV per atom): 2.73

Cell: 4.878 4.878 4.878 Å, 90.00 90.00 90.00°
Element x y z (fractional)
1 Tl 0.000 0.000 0.000
2 Mo 0.000 0.500 0.000
3 Mo 0.500 0.000 0.000
4 Mo 0.000 0.000 0.500
5 Ta 0.500 0.500 0.500

---

# 3
H3OsPt after structural relaxation. Source: Alexandria, functional GGA-PBE.

Calculated values
DOS(E_F) (states/eV per cell): 3.088
E (hartree per atom): -0.1712
Offset from the most stable computed form (meV/atom): 238
Symmetry: Pm-3m

Cell: 3.473 3.473 3.473 Å, 90.00 90.00 90.00°
Last column: magnetic moment on the atom in μB.
Element x y z (fractional)
1 Pt 0.000 0.000 0.000  0.00
2 H 0.500 0.000 0.000  0.00
3 H 0.000 0.500 0.000  0.00
4 H 0.000 0.000 0.500  0.00
5 Os 0.500 0.500 0.500  0.32

---

# 4
Tm3IrPb2 after structural relaxation. Source: Alexandria, functional GGA-PBE.

Calculated values
DOS(E_F) (states/eV per cell): 5.971
E (hartree per atom): -0.1996
Offset from the most stable computed form (meV/atom): 88
Symmetry: C2/c
Energy of formation (eV per atom): -0.48

Cell: 6.167 7.068 8.096 Å, 104.80 112.39 90.00°
Element x y z (fractional)
1 Tm 0.799 0.403 0.714
2 Tm 0.338 0.250 0.000
3 Tm 0.085 0.097 0.286
4 Tm 0.201 0.597 0.286
5 Tm 0.915 0.903 0.714
6 Tm 0.662 0.750 0.000
7 Pb 0.602 0.039 0.334
8 Pb 0.268 0.461 0.666
9 Pb 0.732 0.539 0.334
10 Pb 0.398 0.961 0.666
11 Ir 0.120 0.750 0.000
12 Ir 0.880 0.250 0.000